Cs2AuBr4 (PBE-GGA, relaxed); energy = -18.86 eV/f.u.; raw formation energy = -1.03 eV/atom
1.0
7.6104 0.0000 -0.4237
0.0000 7.2726 0.0000
-3.2877 0.0000 10.5668
Br Cs Au
8 4 2
direct
0.0957 0.7500 0.3661
0.4816 0.5291 0.7261
0.1623 0.7500 0.9558
0.8377 0.2500 0.0442
0.9043 0.2500 0.6339
0.5184 0.4709 0.2739
0.5184 0.0291 0.2739
0.4816 0.9709 0.7261
0.7155 0.7500 0.0486
0.2030 0.2500 0.4238
0.2845 0.2500 0.9514
0.7970 0.7500 0.5762
0.7221 0.2500 0.7929
0.2779 0.7500 0.2071